## Ce2SmThTe5 (PBE)

Data for Ce2SmThTe5 after structural relaxation.

abc: 5.601 5.601 11.904
angles: 90.00 90.00 90.00
Sites, in units of the cell vectors:
Ce (0.000, 0.000, 0.159)
Ce (0.000, 0.000, 0.841)
Sm (0.500, 0.500, 0.000)
Th (0.500, 0.500, 0.500)
Te (0.000, 0.000, 0.500)
Te (0.000, 0.500, 0.000)
Te (0.500, 0.000, 0.000)
Te (0.500, 0.500, 0.255)
Te (0.500, 0.500, 0.745)

Symmetry: P4/mmm (123)
Energy relative to the elements, uncorrected (eV/atom): -0.6410
DOS(E_F) (states/eV per atom): 2.41